Material: ReAg2Hg
Method: DFT, meta-GGA SCAN
State: PBEsol geometry

Values from the calculation:
Formation enthalpy at 0 K   0.902 eV/atom
Calculated total energy   -49.597 eV/atom

Cell and atoms, written as CIF:
```
data_ReAg2Hg
_chemical_formula_sum 'Re1 Ag2 Hg1'
_cell_length_a 4.581
_cell_length_b 4.581
_cell_length_c 4.581
_cell_angle_alpha 60.00
_cell_angle_beta 60.00
_cell_angle_gamma 60.00
_space_group_name_H-M_alt 'P 1'
_space_group_IT_number 1
_space_group_name_Hall 'P 1'
loop_
_atom_site_label
_atom_site_type_symbol
_atom_site_fract_x
_atom_site_fract_y
_atom_site_fract_z
Re1 Re 0.000 0.000 0.000
Ag1 Ag 0.250 0.250 0.250
Ag2 Ag 0.500 0.500 0.500
Hg1 Hg 0.750 0.750 0.750
```